! CsTl2NiF (PBE+U, relaxed); values from VASP
! Fermi-level density of states = 4.7 states/eV per cell
! Calculated volume = 234.1 Å³/cell
! E_tot = -1.813 eV/atom
&SYSTEM
  ibrav = 0, nat = 5, ntyp = 4
/
ATOMIC_SPECIES
Cs 132.91 Cs.upf
Tl 204.38 Tl.upf
Ni 58.69 Ni.upf
F 19.00 F.upf
ATOMIC_POSITIONS crystal
Cs 0.000 0.000 0.000
Tl 0.000 0.500 0.000
Tl 0.500 0.000 0.000
Ni 0.500 0.500 0.500
F 0.000 0.000 0.500
CELL_PARAMETERS angstrom
6.820 0.000 0.000
0.000 6.820 0.000
0.000 0.000 5.032